Arrangement 1

## SrPmAs2 (PBE-GGA)

Data for crystalline SrPmAs2 at its relaxed geometry.

Geometry as POSCAR:
```
SrPmAs2
1.0
2.153 1.243 7.307
-2.153 1.243 7.307
0.000 -2.486 7.307
Sr Pm As
1 1 2
Cartesian
0.000 0.000 0.000
0.000 0.000 10.960
0.000 0.000 5.330
0.000 0.000 16.590
```

Values from the calculation:
Its total magnetization is 0.000 μB per atom. The volume is 29.34 Å³ per atom.

Arrangement 2

## SrPmAs2 (PBE-GGA)

Data for crystalline SrPmAs2 at its relaxed geometry.

Geometry as POSCAR:
```
SrPmAs2
1.0
5.573 0.000 0.000
0.000 5.573 0.000
0.000 0.000 3.285
Sr Pm As
1 1 2
Cartesian
0.000 0.000 0.000
2.786 2.786 0.000
0.000 2.786 1.642
2.786 0.000 1.642
```

Values from the calculation:
Its total magnetization is 0.000 μB per atom. The volume is 25.50 Å³ per atom.

Arrangement 3

## SrPmAs2 (PBE-GGA)

Data for crystalline SrPmAs2 at its relaxed geometry.

Geometry as POSCAR:
```
SrPmAs2
1.0
2.134 1.232 7.550
-2.134 1.232 7.550
0.000 -2.464 7.550
Sr Pm As
1 1 2
Cartesian
0.000 0.000 0.000
0.000 0.000 18.743
0.000 0.000 5.412
0.000 0.000 9.531
```

Values from the calculation:
Its total magnetization is 0.000 μB per atom. The volume is 29.78 Å³ per atom.

arrangement 1 ends up most stable, edging out the next structure by 6.5 kJ/mol of atoms.

Arrangement 1

## SrPmAs (PBE-GGA)

Data for crystalline SrPmAs at its relaxed geometry.

Geometry as POSCAR:
```
SrPmAs
1.0
14.245 0.000 0.000
0.000 2.126 3.680
0.000 -2.126 3.680
Sr Pm As
2 2 2
Cartesian
1.791 0.000 0.000
12.454 0.000 0.000
5.401 0.000 4.886
8.844 0.000 4.886
0.000 0.000 4.905
7.123 0.000 7.339
```

Values from the calculation:
Its total magnetization is 0.332 μB per atom. The volume is 37.15 Å³ per atom.

Arrangement 2

## SrPmAs (PBE-GGA)

Data for crystalline SrPmAs at its relaxed geometry.

Geometry as POSCAR:
```
SrPmAs
1.0
0.000 3.606 3.606
3.606 0.000 3.606
3.606 3.606 0.000
Sr Pm As
1 1 1
Cartesian
0.000 0.000 0.000
3.606 3.606 3.606
5.409 5.409 5.409
```

Values from the calculation:
Its total magnetization is 0.000 μB per atom. The volume is 31.25 Å³ per atom.

arrangement 2 ends up most stable, edging out the next structure by 6.9 kJ/mol of atoms.

Arrangement 1

## SrPmAs (PBE-GGA)

Data for crystalline SrPmAs at its relaxed geometry.

Geometry as POSCAR:
```
SrPmAs
1.0
-1.908 1.908 6.820
1.908 -1.908 6.820
1.908 1.908 -6.820
Sr Pm As
1 1 1
Cartesian
0.000 0.000 0.000
0.000 0.000 3.430
0.000 0.000 8.894
```

Values from the calculation:
Its total magnetization is 0.000 μB per atom. The volume is 33.10 Å³ per atom.

Arrangement 2

## SrPmAs (PBE-GGA)

Data for crystalline SrPmAs at its relaxed geometry.

Geometry as POSCAR:
```
SrPmAs
1.0
4.276 0.000 0.000
-2.138 3.703 0.000
0.000 0.000 7.063
Sr Pm As
1 1 1
Cartesian
0.000 0.000 0.000
2.138 1.234 3.461
0.000 2.469 1.970
```

Values from the calculation:
Its total magnetization is 0.098 μB per atom. The volume is 37.29 Å³ per atom.

arrangement 2 ends up most stable, edging out the next structure by 8.6 kJ/mol of atoms.

Arrangement 1

## TbPmAs2 (PBE-GGA)

Data for crystalline TbPmAs2 at its relaxed geometry.

Geometry as POSCAR:
```
TbPmAs2
1.0
5.378 0.000 0.000
0.000 5.378 0.000
0.000 0.000 3.235
Tb Pm As
1 1 2
Cartesian
0.000 0.000 0.000
2.689 2.689 0.000
0.000 2.689 1.618
2.689 0.000 1.618
```

Values from the calculation:
Its total magnetization is 0.000 μB per atom. The volume is 23.40 Å³ per atom.

Arrangement 2

## TbPmAs2 (PBE-GGA)

Data for crystalline TbPmAs2 at its relaxed geometry.

Geometry as POSCAR:
```
TbPmAs2
1.0
-2.962 2.962 5.926
2.962 -2.962 5.926
2.962 2.962 -5.926
Tb Pm As
2 2 4
Cartesian
2.962 1.481 1.481
0.000 1.481 4.444
2.962 -1.481 4.444
0.000 4.442 1.481
2.962 1.481 -1.453
0.000 1.481 1.510
2.962 1.481 4.415
0.000 1.481 7.378
```

Values from the calculation:
Its total magnetization is 0.000 μB per atom. The volume is 25.99 Å³ per atom.

Arrangement 3

## TbPmAs2 (PBE-GGA)

Data for crystalline TbPmAs2 at its relaxed geometry.

Geometry as POSCAR:
```
TbPmAs2
1.0
2.075 1.198 7.132
-2.075 1.198 7.132
0.000 -2.396 7.132
Tb Pm As
1 1 2
Cartesian
0.000 0.000 0.000
0.000 0.000 3.669
0.000 0.000 12.545
0.000 0.000 16.077
```

Values from the calculation:
Its total magnetization is 0.000 μB per atom. The volume is 26.60 Å³ per atom.

arrangement 2 ends up most stable, edging out the next structure by 15.5 kJ/mol of atoms.